1.
The following is a PBE calculation of YMg3 after structural relaxation, from Alexandria via LeMat-Bulk.

Unit cell a=8.748 b=8.748 c=9.407 alpha=90.00 beta=90.00 gamma=120.00
Positions (direct):
1 Y 0.000 0.666 0.553
2 Y 0.334 0.000 0.053
3 Y 0.666 0.000 0.553
4 Y 0.334 0.334 0.553
5 Y 0.666 0.666 0.053
6 Y 0.000 0.334 0.053
7 Mg 0.667 0.667 0.713
8 Mg 0.333 0.000 0.713
9 Mg 0.333 0.333 0.892
10 Mg 0.000 0.000 0.305
11 Mg 0.000 0.333 0.392
12 Mg 0.333 0.667 0.302
13 Mg 0.333 0.333 0.213
14 Mg 0.333 0.000 0.392
15 Mg 0.333 0.667 0.802
16 Mg 0.000 0.667 0.892
17 Mg 0.667 0.333 0.302
18 Mg 0.000 0.333 0.713
19 Mg 0.667 0.000 0.892
20 Mg 0.667 0.667 0.392
21 Mg 0.000 0.667 0.213
22 Mg 0.667 0.333 0.802
23 Mg 0.667 0.000 0.213
24 Mg 0.000 0.000 0.805

Values from the calculation:
space-group type	P6_3cm, No. 185
energy of formation from the pure elements	-0.008	eV/atom
crystal system	hexagonal

---

2.
The following is a PBE calculation of KMgI2N after structural relaxation, from Alexandria via LeMat-Bulk.

Unit cell a=6.069 b=6.069 c=4.236 alpha=90.00 beta=90.00 gamma=90.00
Positions (direct):
1 I 0.000 0.500 0.000
2 I 0.500 0.000 0.000
3 N 0.000 0.000 0.500
4 K 0.500 0.500 0.500
5 Mg 0.000 0.000 0.000

Values from the calculation:
space-group type	P4/mmm, No. 123
crystal system	tetragonal
formation energy (no corrections)	-179	kJ/mol of formula units
distance to the lowest polymorph of the same formula	0.000	eV per atom

---

3.
The following is a PBE calculation of CdSiRu2 after structural relaxation, from Alexandria via LeMat-Bulk.

Unit cell a=2.842 b=2.842 c=8.460 alpha=90.00 beta=90.00 gamma=116.16
Positions (direct):
1 Cd 0.500 0.500 0.750
2 Si 0.500 0.500 0.250
3 Ru 0.000 0.000 0.462
4 Ru 0.000 0.000 0.038

Values from the calculation:
space-group type	Cmmm, No. 65
crystal system	orthorhombic
formation energy (no corrections)	1	kJ/mol of formula units

---

4.
The following is a PBE calculation of UNbAs2 after structural relaxation, from Alexandria via LeMat-Bulk.

Unit cell a=3.907 b=3.907 c=6.691 alpha=73.03 beta=73.03 gamma=60.00
Positions (direct):
1 Nb 0.000 0.000 0.000
2 U 0.500 0.500 0.500
3 As 0.257 0.257 0.228
4 As 0.743 0.743 0.772

Values from the calculation:
space-group type	R-3m, No. 166
energy of formation from the pure elements	-0.603	eV/atom
crystal system	trigonal
distance to the lowest polymorph of the same formula	0.000	eV per atom

---

| no. | magnetic moment (μB/f.u.) | density (g cm⁻³) |
| --- | --- | --- |
| 1 | 0.000 | 2.586 |
| 2 | 2.005 | 3.525 |
| 3 | 0.000 | 9.277 |
| 4 | 2.068 | 9.589 |